Record 1
First-principles (PBE) data for crystalline Ho4HgPd2Ru at its relaxed geometry, as listed in Alexandria.

Structure (POSCAR):
```
Ho4HgPd2Ru
1.0
2.489 1.437 8.155
-2.489 1.437 8.155
0.000 -2.874 8.155
Ho Hg Pd Ru
4 1 2 1
Direct
0.117 0.117 0.117
0.369 0.369 0.369
0.631 0.631 0.631
0.883 0.883 0.883
0.500 0.500 0.500
0.250 0.250 0.250
0.750 0.750 0.750
0.000 0.000 0.000
```

Values from the calculation:
* calculated formation energy: -5.41 eV per formula unit
* space-group type: R-3m (166)
* raw total energy: -5.461 eV/atom

Record 2
First-principles (PBE) data for crystalline LiAcGeIr at its relaxed geometry, as listed in Alexandria.

Structure (POSCAR):
```
LiAcGeIr
1.0
6.896 0.000 0.000
0.000 6.896 0.000
0.000 0.000 6.896
Li Ac Ge Ir
4 4 4 4
Direct
0.000 0.000 0.000
0.000 0.500 0.500
0.500 0.000 0.500
0.500 0.500 0.000
0.250 0.250 0.250
0.250 0.750 0.750
0.750 0.250 0.750
0.750 0.750 0.250
0.250 0.250 0.750
0.250 0.750 0.250
0.750 0.250 0.250
0.750 0.750 0.750
0.000 0.000 0.500
0.000 0.500 0.000
0.500 0.000 0.000
0.500 0.500 0.500
```

Values from the calculation:
* calculated formation energy: -1.16 eV per formula unit
* space-group type: F-43m (216)
* raw total energy: -5.164 eV/atom

Record 3
First-principles (PBE) data for crystalline RbClF3 at its relaxed geometry, as listed in Alexandria.

Structure (POSCAR):
```
RbClF3
1.0
5.047 0.000 0.000
0.000 5.047 0.000
0.000 0.000 5.047
Rb Cl F
1 1 3
Direct
0.000 0.000 0.000
0.500 0.500 0.500
0.000 0.000 0.500
0.000 0.500 0.000
0.500 0.000 0.000
```

Values from the calculation:
* formation energy from raw total energies: -0.5044 eV/atom
* space-group type: Pm-3m (221)
* raw total energy: -2.190 eV/atom